! PBE NdGaCuNi, relaxed; values from VASP
! space-group type = No. 8
! ΔE to the lowest computed polymorph = 0.0 meV/atom
! calculated total energy = -0.177 Ha/atom
&SYSTEM
  ibrav = 0, nat = 8, ntyp = 4
/
ATOMIC_SPECIES
Nd 144.24 Nd.upf
Ga 69.72 Ga.upf
Cu 63.55 Cu.upf
Ni 58.69 Ni.upf
ATOMIC_POSITIONS crystal
Nd 0.0000 0.0000 0.0000
Nd 0.5000 0.5000 0.0000
Ga 0.0135 0.5000 0.5402
Ga 0.5135 0.0000 0.5402
Cu 0.2995 0.5000 0.3976
Cu 0.7995 0.0000 0.3976
Ni 0.1975 0.0000 0.5913
Ni 0.6975 0.5000 0.5913
CELL_PARAMETERS angstrom
7.3407 0.0000 0.0000
0.0000 4.2288 0.0000
-2.4426 0.0000 4.7696

=====

! PBE Nd2Ga4CuNi3, relaxed; values from VASP
! space-group type = No. 115
! calculated total energy = -0.178 Ha/atom
&SYSTEM
  ibrav = 0, nat = 10, ntyp = 4
/
ATOMIC_SPECIES
Nd 144.24 Nd.upf
Ga 69.72 Ga.upf
Cu 63.55 Cu.upf
Ni 58.69 Ni.upf
ATOMIC_POSITIONS crystal
Nd 0.0000 0.5000 0.2479
Nd 0.5000 0.0000 0.7521
Ga 0.0000 0.0000 0.5000
Ga 0.0000 0.5000 0.8747
Ga 0.5000 0.0000 0.1253
Ga 0.5000 0.5000 0.5000
Cu 0.5000 0.5000 0.0000
Ni 0.0000 0.0000 0.0000
Ni 0.0000 0.5000 0.6271
Ni 0.5000 0.0000 0.3729
CELL_PARAMETERS angstrom
4.2575 0.0000 0.0000
0.0000 4.2575 0.0000
0.0000 0.0000 9.6009

=====

! PBE Nd2GaCu12Ni3, relaxed; values from VASP
! space-group type = No. 166
! calculated total energy = -0.160 Ha/atom
&SYSTEM
  ibrav = 0, nat = 18, ntyp = 4
/
ATOMIC_SPECIES
Nd 144.24 Nd.upf
Ga 69.72 Ga.upf
Cu 63.55 Cu.upf
Ni 58.69 Ni.upf
ATOMIC_POSITIONS crystal
Nd 0.2466 0.2466 0.2466
Nd 0.7534 0.7534 0.7534
Ga 0.5000 0.5000 0.5000
Cu 0.0738 0.0738 0.6566
Cu 0.0738 0.6566 0.0738
Cu 0.2272 0.6993 0.6993
Cu 0.3007 0.3007 0.7728
Cu 0.3007 0.7728 0.3007
Cu 0.3434 0.9262 0.9262
Cu 0.6566 0.0738 0.0738
Cu 0.6993 0.2272 0.6993
Cu 0.6993 0.6993 0.2272
Cu 0.7728 0.3007 0.3007
Cu 0.9262 0.3434 0.9262
Cu 0.9262 0.9262 0.3434
Ni 0.0000 0.5000 0.5000
Ni 0.5000 0.0000 0.5000
Ni 0.5000 0.5000 0.0000
CELL_PARAMETERS angstrom
4.2542 2.4562 4.1466
-4.2542 2.4562 4.1466
0.0000 -4.9124 4.1466

=====

! PBE NdGa3CuNi, relaxed; values from VASP
! space-group type = No. 63
! calculated total energy = -0.156 Ha/atom
&SYSTEM
  ibrav = 0, nat = 12, ntyp = 4
/
ATOMIC_SPECIES
Nd 144.24 Nd.upf
Ga 69.72 Ga.upf
Cu 63.55 Cu.upf
Ni 58.69 Ni.upf
ATOMIC_POSITIONS crystal
Nd 0.2275 0.7725 0.7500
Nd 0.7725 0.2275 0.2500
Ga 0.2120 0.2120 0.0000
Ga 0.2120 0.2120 0.5000
Ga 0.3475 0.6525 0.2500
Ga 0.6525 0.3475 0.7500
Ga 0.7880 0.7880 0.0000
Ga 0.7880 0.7880 0.5000
Cu 0.1399 0.8601 0.2500
Cu 0.8601 0.1399 0.7500
Ni 0.4490 0.5510 0.7500
Ni 0.5510 0.4490 0.2500
CELL_PARAMETERS angstrom
3.0239 -5.9282 0.0000
3.0239 5.9282 0.0000
0.0000 0.0000 6.0348

=====

Question: Among the records above, which one has the highest calculated total energy?
Answer: NdGa3CuNi

=====

Question: Look up the calculated total energy of the third one.
Answer: -0.160 Ha/atom